A:
Here is Dy3TmAl after structural relaxation from the Alexandria database. Energies are from PBE.

## Properties
density: 8.0 g/cm³
symmetry: P-1

Unit cell a=3.575 b=6.670 c=12.362 alpha=84.85 beta=89.99 gamma=74.47
Positions (direct):
Dy1 0.035 0.430 0.195
Dy2 0.141 0.218 0.449
Dy3 0.364 0.772 0.021
Dy4 0.636 0.228 0.979
Dy5 0.859 0.782 0.551
Dy6 0.965 0.570 0.805
Tm1 0.223 0.053 0.749
Tm2 0.777 0.947 0.251
Al1 0.448 0.605 0.377
Al2 0.552 0.395 0.623

---

B:
Here is Dy3TmAl after structural relaxation from the Alexandria database. Energies are from PBE.

## Properties
density: 7.5 g/cm³
symmetry: Cmcm

Unit cell a=6.657 b=6.657 c=8.670 alpha=90.00 beta=90.00 gamma=128.47
Positions (direct):
Dy1 0.060 0.940 0.750
Dy2 0.183 0.817 0.071
Dy3 0.183 0.817 0.429
Dy4 0.817 0.183 0.571
Dy5 0.817 0.183 0.929
Dy6 0.940 0.060 0.250
Tm1 0.444 0.556 0.250
Tm2 0.556 0.444 0.750
Al1 0.309 0.691 0.750
Al2 0.691 0.309 0.250

---

A takes first place; second place is 47.7 kJ/mol of atoms up.

---

A:
Here is Dy3TmAl8 after structural relaxation from the Alexandria database. Energies are from PBE.

## Properties
density: 6.0 g/cm³
symmetry: R3m

Unit cell a=9.640 b=9.640 c=9.640 alpha=33.40 beta=33.40 gamma=33.40
Positions (direct):
Dy1 0.000 0.000 0.000
Dy2 0.125 0.125 0.125
Dy3 0.500 0.500 0.500
Tm1 0.625 0.625 0.625
Al1 0.062 0.562 0.562
Al2 0.063 0.063 0.563
Al3 0.063 0.563 0.063
Al4 0.312 0.312 0.312
Al5 0.562 0.062 0.562
Al6 0.562 0.562 0.062
Al7 0.563 0.063 0.063
Al8 0.813 0.813 0.813

---

B:
Here is Dy3TmAl8 after structural relaxation from the Alexandria database. Energies are from PBE.

## Properties
density: 6.0 g/cm³
symmetry: P3m1

Unit cell a=5.540 b=5.540 c=9.090 alpha=90.00 beta=90.00 gamma=120.00
Positions (direct):
Dy1 0.000 0.000 0.000
Dy2 0.000 0.000 0.365
Dy3 0.333 0.667 0.864
Tm1 0.333 0.667 0.499
Al1 0.009 0.505 0.182
Al2 0.324 0.162 0.681
Al3 0.495 0.505 0.182
Al4 0.495 0.991 0.182
Al5 0.667 0.333 0.432
Al6 0.667 0.333 0.931
Al7 0.838 0.162 0.681
Al8 0.838 0.676 0.681

---

A takes first place; second place is 0.9 kJ/mol of atoms up.

---

A:
Here is DyTmAlZn after structural relaxation from the Alexandria database. Energies are from PBE.

## Properties
density: 7.8 g/cm³
symmetry: P4mm

Unit cell a=3.547 b=3.547 c=7.180 alpha=90.00 beta=90.00 gamma=90.00
Positions (direct):
Dy1 0.000 0.000 0.000
Tm1 0.000 0.000 0.510
Al1 0.500 0.500 0.259
Zn1 0.500 0.500 0.747

---

B:
Here is DyTmAlZn after structural relaxation from the Alexandria database. Energies are from PBE.

## Properties
density: 7.8 g/cm³
symmetry: F-43m

Unit cell a=5.043 b=5.043 c=5.043 alpha=60.00 beta=60.00 gamma=60.00
Positions (direct):
Dy1 0.000 0.000 0.000
Tm1 0.500 0.500 0.500
Al1 0.750 0.750 0.750
Zn1 0.250 0.250 0.250

---

A takes first place; second place is 0.8 kJ/mol of atoms up.

---

A:
Here is DyAl2V after structural relaxation from the Alexandria database. Energies are from PBE.

## Properties
density: 6.0 g/cm³
symmetry: P4/mmm

Unit cell a=3.363 b=3.363 c=6.582 alpha=90.00 beta=90.00 gamma=90.00
Positions (direct):
Dy1 0.000 0.000 0.000
Al1 0.500 0.500 0.305
Al2 0.500 0.500 0.695
V1 0.000 0.000 0.500

---

B:
Here is DyAl2V after structural relaxation from the Alexandria database. Energies are from PBE.

## Properties
density: 5.9 g/cm³
symmetry: R-3m

Unit cell a=9.832 b=9.832 c=9.832 alpha=17.49 beta=17.49 gamma=17.49
Positions (direct):
Dy1 0.000 0.000 0.000
Al1 0.239 0.239 0.239
Al2 0.761 0.761 0.761
V1 0.500 0.500 0.500

---

A takes first place; second place is 24.9 kJ/mol of atoms up.

---

A:
Here is Dy2YAl after structural relaxation from the Alexandria database. Energies are from PBE.

## Properties
density: 6.7 g/cm³
symmetry: Fm-3m

Unit cell a=5.355 b=5.355 c=5.355 alpha=60.00 beta=60.00 gamma=60.00
Positions (direct):
Dy1 0.250 0.250 0.250
Dy2 0.750 0.750 0.750
Y1 0.000 0.000 0.000
Al1 0.500 0.500 0.500

---

B:
Here is Dy2YAl after structural relaxation from the Alexandria database. Energies are from PBE.

## Properties
density: 6.3 g/cm³
symmetry: R3m

Unit cell a=10.608 b=10.608 c=10.608 alpha=19.50 beta=19.50 gamma=19.50
Positions (direct):
Dy1 0.000 0.000 0.000
Dy2 0.188 0.188 0.188
Y1 0.428 0.428 0.428
Al1 0.594 0.594 0.594

---

B takes first place; second place is 3.9 kJ/mol of atoms up.

---

A:
Here is Dy2YAl after structural relaxation from the Alexandria database. Energies are from PBE.

## Properties
density: 6.5 g/cm³
symmetry: P4/mmm

Unit cell a=3.523 b=3.523 c=9.027 alpha=90.00 beta=90.00 gamma=90.00
Positions (direct):
Dy1 0.000 0.000 0.212
Dy2 0.000 0.000 0.788
Y1 0.500 0.500 0.500
Al1 0.500 0.500 0.000

---

B:
Here is Dy2YAl after structural relaxation from the Alexandria database. Energies are from PBE.

## Properties
density: 6.8 g/cm³
symmetry: Amm2

Unit cell a=5.300 b=6.840 c=6.840 alpha=60.17 beta=90.00 gamma=90.00
Positions (direct):
Dy1 0.000 0.000 0.000
Dy2 0.000 0.001 0.526
Dy3 0.000 0.526 0.001
Dy4 0.500 0.350 0.350
Y1 0.500 0.349 0.825
Y2 0.500 0.825 0.349
Al1 0.000 0.508 0.508
Al2 0.500 0.842 0.842

---

B takes first place; second place is 1.3 kJ/mol of atoms up.

---

A:
Here is DyY3Al8 after structural relaxation from the Alexandria database. Energies are from PBE.

## Properties
density: 4.4 g/cm³
symmetry: P3m1

Unit cell a=5.551 b=5.551 c=9.146 alpha=90.00 beta=90.00 gamma=120.00
Positions (direct):
Dy1 0.000 0.000 0.000
Y1 0.000 0.000 0.364
Y2 0.667 0.333 0.500
Y3 0.667 0.333 0.865
Al1 0.162 0.324 0.682
Al2 0.162 0.838 0.682
Al3 0.333 0.667 0.432
Al4 0.333 0.667 0.932
Al5 0.504 0.009 0.182
Al6 0.504 0.496 0.182
Al7 0.676 0.838 0.682
Al8 0.991 0.496 0.182

---

B:
Here is DyY3Al8 after structural relaxation from the Alexandria database. Energies are from PBE.

## Properties
density: 4.4 g/cm³
symmetry: R3m

Unit cell a=9.668 b=9.668 c=9.668 alpha=33.41 beta=33.41 gamma=33.41
Positions (direct):
Dy1 0.000 0.000 0.000
Y1 0.124 0.124 0.124
Y2 0.500 0.500 0.500
Y3 0.625 0.625 0.625
Al1 0.062 0.062 0.562
Al2 0.062 0.562 0.062
Al3 0.062 0.562 0.562
Al4 0.312 0.312 0.312
Al5 0.562 0.062 0.062
Al6 0.562 0.062 0.562
Al7 0.562 0.562 0.062
Al8 0.812 0.812 0.812

---

B takes first place; second place is 0.9 kJ/mol of atoms up.

---

A:
Here is Dy2Y2Al3 after structural relaxation from the Alexandria database. Energies are from PBE.

## Properties
density: 5.4 g/cm³
symmetry: C2/m

Unit cell a=6.215 b=6.215 c=8.747 alpha=113.23 beta=113.23 gamma=35.68
Positions (direct):
Dy1 0.141 0.141 0.326
Dy2 0.859 0.859 0.674
Y1 0.380 0.380 0.049
Y2 0.620 0.620 0.951
Al1 0.156 0.156 0.697
Al2 0.500 0.500 0.500
Al3 0.844 0.844 0.303

---

B:
Here is Dy2Y2Al3 after structural relaxation from the Alexandria database. Energies are from PBE.

## Properties
density: 5.4 g/cm³
symmetry: Cmmm

Unit cell a=14.274 b=14.274 c=3.546 alpha=90.00 beta=90.00 gamma=165.73
Positions (direct):
Dy1 0.194 0.806 0.000
Dy2 0.806 0.194 0.000
Y1 0.065 0.935 0.000
Y2 0.935 0.065 0.000
Al1 0.369 0.631 0.500
Al2 0.500 0.500 0.500
Al3 0.631 0.369 0.500

---

B takes first place; second place is 1.5 kJ/mol of atoms up.

---

A:
Here is Dy4YAl after structural relaxation from the Alexandria database. Energies are from PBE.

## Properties
density: 7.3 g/cm³
symmetry: P4/mmm

Unit cell a=3.528 b=3.528 c=14.037 alpha=90.00 beta=90.00 gamma=90.00
Positions (direct):
Dy1 0.000 0.000 0.136
Dy2 0.000 0.000 0.864
Dy3 0.500 0.500 0.319
Dy4 0.500 0.500 0.681
Y1 0.000 0.000 0.500
Al1 0.500 0.500 0.000

---

B:
Here is Dy4YAl after structural relaxation from the Alexandria database. Energies are from PBE.

## Properties
density: 7.2 g/cm³
symmetry: C2/c

Unit cell a=8.153 b=8.153 c=6.238 alpha=99.72 beta=99.72 gamma=115.47
Positions (direct):
Dy1 0.086 0.716 0.957
Dy2 0.159 0.398 0.621
Dy3 0.284 0.914 0.543
Dy4 0.398 0.159 0.121
Dy5 0.602 0.841 0.879
Dy6 0.716 0.086 0.457
Dy7 0.841 0.602 0.379
Dy8 0.914 0.284 0.043
Y1 0.410 0.590 0.250
Y2 0.590 0.410 0.750
Al1 0.001 0.999 0.750
Al2 0.999 0.001 0.250

---

A takes first place; second place is 7.8 kJ/mol of atoms up.

---

A:
Here is Dy2YAl2 after structural relaxation from the Alexandria database. Energies are from PBE.

## Properties
density: 6.2 g/cm³
symmetry: P2_1/m

Unit cell a=3.648 b=5.137 c=13.501 alpha=90.00 beta=97.77 gamma=90.00
Positions (direct):
Dy1 0.047 0.250 0.094
Dy2 0.233 0.250 0.467
Dy3 0.767 0.750 0.533
Dy4 0.953 0.750 0.906
Y1 0.144 0.750 0.290
Y2 0.856 0.250 0.710
Al1 0.360 0.750 0.718
Al2 0.451 0.250 0.902
Al3 0.549 0.750 0.098
Al4 0.640 0.250 0.282

---

B:
Here is Dy2YAl2 after structural relaxation from the Alexandria database. Energies are from PBE.

## Properties
density: 5.8 g/cm³
symmetry: P2_1/m

Unit cell a=5.602 b=3.594 c=13.405 alpha=90.00 beta=96.04 gamma=90.00
Positions (direct):
Dy1 0.153 0.250 0.112
Dy2 0.259 0.750 0.538
Dy3 0.741 0.250 0.462
Dy4 0.847 0.750 0.888
Y1 0.318 0.250 0.765
Y2 0.682 0.750 0.235
Al1 0.208 0.250 0.340
Al2 0.350 0.750 0.956
Al3 0.650 0.250 0.044
Al4 0.792 0.750 0.660

---

A takes first place; second place is 17.8 kJ/mol of atoms up.

---

A:
Here is Dy4AlZn after structural relaxation from the Alexandria database. Energies are from PBE.

## Properties
density: 7.0 g/cm³
symmetry: P4/mmm

Unit cell a=4.962 b=4.962 c=7.146 alpha=90.00 beta=90.00 gamma=90.00
Positions (direct):
Dy1 0.000 0.500 0.244
Dy2 0.000 0.500 0.756
Dy3 0.500 0.000 0.244
Dy4 0.500 0.000 0.756
Al1 0.000 0.000 0.500
Zn1 0.500 0.500 0.000

---

B:
Here is Dy4AlZn after structural relaxation from the Alexandria database. Energies are from PBE.

## Properties
density: 7.8 g/cm³
symmetry: C2/m

Unit cell a=6.652 b=6.652 c=7.193 alpha=105.60 beta=105.60 gamma=31.13
Positions (direct):
Dy1 0.143 0.143 0.324
Dy2 0.147 0.147 0.820
Dy3 0.853 0.853 0.180
Dy4 0.857 0.857 0.676
Al1 0.500 0.500 0.000
Zn1 0.500 0.500 0.500

---

B takes first place; second place is 21.7 kJ/mol of atoms up.

---

A:
Here is Dy2Al3Zn2 after structural relaxation from the Alexandria database. Energies are from PBE.

## Properties
density: 6.4 g/cm³
symmetry: C2/m

Unit cell a=5.667 b=5.667 c=6.707 alpha=111.74 beta=111.74 gamma=44.63
Positions (direct):
Dy1 0.150 0.150 0.276
Dy2 0.850 0.850 0.724
Al1 0.400 0.400 0.072
Al2 0.500 0.500 0.500
Al3 0.600 0.600 0.928
Zn1 0.148 0.148 0.747
Zn2 0.852 0.852 0.253

---

B:
Here is Dy2Al3Zn2 after structural relaxation from the Alexandria database. Energies are from PBE.

## Properties
density: 6.2 g/cm³
symmetry: Cmcm

Unit cell a=9.675 b=9.675 c=6.943 alpha=90.00 beta=90.00 gamma=153.88
Positions (direct):
Dy1 0.047 0.953 0.750
Dy2 0.159 0.841 0.250
Dy3 0.841 0.159 0.750
Dy4 0.953 0.047 0.250
Al1 0.221 0.779 0.750
Al2 0.438 0.562 0.568
Al3 0.438 0.562 0.932
Al4 0.562 0.438 0.068
Al5 0.562 0.438 0.432
Al6 0.779 0.221 0.250
Zn1 0.313 0.687 0.062
Zn2 0.313 0.687 0.438
Zn3 0.687 0.313 0.562
Zn4 0.687 0.313 0.938

---

A takes first place; second place is 1.3 kJ/mol of atoms up.